<i>
# AsAuSeO

A relaxed AsAuSeO crystal (PBE-GGA, the Open Quantum Materials Database).

a = 3.781 Å, b = 3.781 Å, c = 9.362 Å
α = 90.00°, β = 90.00°, γ = 90.00°
Element x y z (fractional)
As 0.250 0.250 0.116
As 0.750 0.750 0.884
Au 0.250 0.750 0.500
Au 0.750 0.250 0.500
Se 0.250 0.250 0.726
Se 0.750 0.750 0.274
O 0.250 0.750 0.000
O 0.750 0.250 0.000



<ii>
# AsAuSeO

A relaxed AsAuSeO crystal (PBE-GGA, the Open Quantum Materials Database).

a = 6.482 Å, b = 4.947 Å, c = 11.617 Å
α = 90.00°, β = 94.28°, γ = 90.00°
Element x y z (fractional)
As 0.029 0.000 0.320
As 0.359 0.140 0.545
As 0.641 0.640 0.455
As 0.971 0.500 0.680
Au 0.151 0.814 0.004
Au 0.436 0.633 0.803
Au 0.564 0.133 0.197
Au 0.849 0.314 0.996
Se 0.114 0.890 0.794
Se 0.297 0.794 0.204
Se 0.703 0.294 0.796
Se 0.886 0.390 0.206
O 0.176 0.221 0.422
O 0.408 0.785 0.513
O 0.592 0.285 0.487
O 0.824 0.721 0.578



<iii>
# AsAuSeO

A relaxed AsAuSeO crystal (PBE-GGA, the Open Quantum Materials Database).

a = 4.007 Å, b = 8.460 Å, c = 5.186 Å
α = 90.00°, β = 90.00°, γ = 90.00°
Element x y z (fractional)
As 0.000 0.134 0.000
As 0.000 0.866 0.500
Au 0.500 0.322 0.020
Au 0.500 0.678 0.520
Se 0.500 0.379 0.519
Se 0.500 0.621 0.019
O 0.000 0.051 0.678
O 0.000 0.949 0.178



Looking at the structures above, which would you pick as the most stable? I would pick <ii>.